Record 1
Si2Rh | PBE-GGA | relaxed

The calculation puts the density at 6.4 g cm⁻³. Its total moment is 0.00 μB/f.u. The total energy comes out at -6.3022 eV per atom.

Lattice parameters (Å, degrees): 6.2572 6.2572 4.5612 90.00 90.00 152.29
Closest atoms and distances in Å follow each position.
Element x y z (fractional)
Si (0.9421, 0.0579, 0.7500)  4 Si 2.49-2.68, 2 Rh 2.59
Si (0.7219, 0.2781, 0.2500)  4 Rh 2.48-2.62, 2 Si 2.49
Rh (0.3842, 0.6158, 0.2500)  6 Si 2.48-2.62
Rh (0.6158, 0.3842, 0.7500)  6 Si 2.48-2.62
Si (0.0579, 0.9421, 0.2500)  4 Si 2.49-2.68, 2 Rh 2.59
Si (0.2781, 0.7219, 0.7500)  4 Rh 2.48-2.62, 2 Si 2.49

Record 2
SiRh | PBE-GGA | relaxed

The calculation puts the density at 5.2 g cm⁻³. Its total moment is 0.00 μB/f.u. The total energy comes out at -6.7492 eV per atom.

Lattice parameters (Å, degrees): 10.1192 12.9210 5.0912 90.00 90.00 90.00
Closest atoms and distances in Å follow each position.
Element x y z (fractional)
Rh (0.2500, 0.8636, 0.7500)  4 Si 2.28-2.36
Rh (0.7500, 0.8636, 0.2500)  4 Si 2.28-2.36
Si (0.5669, 0.2500, 0.7500)  4 Rh 2.28-2.36
Si (0.1831, 0.5000, 0.0000)  4 Rh 2.28-2.36
Rh (0.0000, 0.6136, 0.0000)  4 Si 2.28-2.36
Rh (0.5000, 0.6136, 0.5000)  4 Si 2.28-2.36
Si (0.5669, 0.7500, 0.2500)  4 Rh 2.28-2.36
Rh (0.2500, 0.3636, 0.2500)  4 Si 2.28-2.36
Rh (0.7500, 0.6364, 0.2500)  4 Si 2.28-2.36
Si (0.1831, 0.0000, 0.5000)  4 Rh 2.28-2.36
Rh (0.0000, 0.1136, 0.5000)  4 Si 2.28-2.36
Rh (0.5000, 0.8864, 0.0000)  4 Si 2.28-2.36
Rh (0.0000, 0.8864, 0.5000)  4 Si 2.28-2.36
Rh (0.7500, 0.1364, 0.7500)  4 Si 2.28-2.36
Rh (0.2500, 0.6364, 0.7500)  4 Si 2.28-2.36
Si (0.6831, 0.0000, 0.0000)  4 Rh 2.28-2.36
Si (0.4331, 0.2500, 0.2500)  4 Rh 2.28-2.36
Si (0.4331, 0.7500, 0.7500)  4 Rh 2.28-2.36
Si (0.3169, 0.5000, 0.5000)  4 Rh 2.28-2.36
Si (0.3169, 0.0000, 0.0000)  4 Rh 2.28-2.36
Si (0.8169, 0.5000, 0.0000)  4 Rh 2.28-2.36
Rh (0.7500, 0.3636, 0.7500)  4 Si 2.28-2.36
Rh (0.5000, 0.1136, 0.0000)  4 Si 2.28-2.36
Si (0.0669, 0.7500, 0.7500)  4 Rh 2.28-2.36
Si (0.9331, 0.7500, 0.2500)  4 Rh 2.28-2.36
Rh (0.2500, 0.1364, 0.2500)  4 Si 2.28-2.36
Si (0.9331, 0.2500, 0.7500)  4 Rh 2.28-2.36
Rh (0.0000, 0.3864, 0.0000)  4 Si 2.28-2.36
Si (0.0669, 0.2500, 0.2500)  4 Rh 2.28-2.36
Si (0.6831, 0.5000, 0.5000)  4 Rh 2.28-2.36
Si (0.8169, 0.0000, 0.5000)  4 Rh 2.28-2.36
Rh (0.5000, 0.3864, 0.5000)  4 Si 2.28-2.36

Record 3
SiRh4 | PBE-GGA | relaxed

The calculation puts the density at 8.9 g cm⁻³. The offset from the most stable computed form is 516 meV/atom. Its total moment is 0.00 μB/f.u. The total energy comes out at -6.7401 eV per atom.

Lattice parameters (Å, degrees): 4.7332 4.7332 4.7332 109.47 109.47 109.47
Closest atoms and distances in Å follow each position.
Element x y z (fractional)
Rh (0.5000, 0.5000, 0.5000)  2 Si 2.37
Rh (0.5000, 0.0000, 0.0000)  2 Si 2.37
Rh (0.0000, 0.5000, 0.0000)  2 Si 2.37
Si (0.0000, 0.0000, 0.0000)  8 Rh 2.37
Rh (0.0000, 0.0000, 0.5000)  2 Si 2.37

Record 4
Si5Rh4 | PBE-GGA | relaxed

The calculation puts the density at 7.1 g cm⁻³. Its total moment is 0.00 μB/f.u. The total energy comes out at -7.0176 eV per atom.

Lattice parameters (Å, degrees): 3.5485 5.9815 12.4218 79.98 90.00 90.00
Closest atoms and distances in Å follow each position.
Element x y z (fractional)
Si (0.7500, 0.8936, 0.5775)  6 Rh 2.41-2.68
Rh (0.7500, 0.3001, 0.5001)  6 Si 2.39-2.52
Si (0.2500, 0.5121, 0.9230)  4 Rh 2.49-2.52, 5 Si 2.59-2.76
Si (0.2500, 0.1064, 0.4225)  6 Rh 2.41-2.68
Si (0.2500, 0.9789, 0.8606)  6 Rh 2.42-2.60
Rh (0.7500, 0.2077, 0.9499)  7 Si 2.42-2.60
Si (0.7500, 0.4879, 0.0770)  4 Rh 2.49-2.52, 5 Si 2.59-2.76
Rh (0.2500, 0.7923, 0.0501)  7 Si 2.42-2.60
Rh (0.2500, 0.8930, 0.2733)  6 Si 2.34-2.48
Si (0.7500, 0.4663, 0.7765)  4 Rh 2.32-2.42, 2 Si 2.59
Rh (0.7500, 0.1070, 0.7267)  6 Si 2.34-2.48
Rh (0.7500, 0.2856, 0.2699)  5 Si 2.32-2.59
Si (0.7500, 0.0211, 0.1394)  6 Rh 2.42-2.60
Si (0.2500, 0.5337, 0.2235)  4 Rh 2.32-2.42, 2 Si 2.59
Rh (0.2500, 0.6999, 0.4999)  6 Si 2.39-2.52
Si (0.7500, 0.6378, 0.3645)  6 Rh 2.39-2.59, 2 Si 2.64
Si (0.2500, 0.3622, 0.6355)  6 Rh 2.39-2.59, 2 Si 2.64
Rh (0.2500, 0.7144, 0.7301)  5 Si 2.32-2.59

Record 5
SiRh | PBE-GGA | relaxed

The calculation puts the density at 5.8 g cm⁻³. Its total moment is 0.00 μB/f.u. The total energy comes out at -6.6169 eV per atom.

Lattice parameters (Å, degrees): 5.3192 5.3192 5.3192 90.00 90.00 90.00
Closest atoms and distances in Å follow each position.
Element x y z (fractional)
Rh (0.0000, 0.0000, 0.0000)  4 Si 2.30
Si (0.2500, 0.7500, 0.7500)  4 Rh 2.30
Rh (0.0000, 0.5000, 0.5000)  4 Si 2.30
Si (0.2500, 0.2500, 0.2500)  4 Rh 2.30
Rh (0.5000, 0.0000, 0.5000)  4 Si 2.30
Rh (0.5000, 0.5000, 0.0000)  4 Si 2.30
Si (0.7500, 0.7500, 0.2500)  4 Rh 2.30
Si (0.7500, 0.2500, 0.7500)  4 Rh 2.30

Record 6
SiRh | PBE-GGA | relaxed

The calculation puts the density at 8.0 g cm⁻³. Its total moment is 0.00 μB/f.u. The total energy comes out at -7.0431 eV per atom.

Lattice parameters (Å, degrees): 5.9730 5.9730 5.0946 73.57 73.57 27.81
Closest atoms and distances in Å follow each position.
Element x y z (fractional)
Si (0.3332, 0.3332, 0.2838)  6 Rh 2.45-2.64
Rh (0.3344, 0.3344, 0.7643)  6 Si 2.45-2.64
Rh (0.6656, 0.6656, 0.2357)  6 Si 2.45-2.64
Rh (0.0000, 0.0000, 0.0000)  6 Si 2.50-2.55
Si (0.0000, 0.0000, 0.5000)  6 Rh 2.46-2.55
Si (0.6668, 0.6668, 0.7163)  6 Rh 2.45-2.64

Record 7
SiRh | PBE-GGA | relaxed

The calculation puts the density at 7.5 g cm⁻³. Its total moment is 0.00 μB/f.u. The total energy comes out at -6.9995 eV per atom.

Lattice parameters (Å, degrees): 5.6016 6.4402 6.4643 90.00 90.00 90.00
Closest atoms and distances in Å follow each position.
Element x y z (fractional)
Si (0.8294, 0.1257, 0.7103)  6 Rh 2.46-2.70, 2 Si 2.60-2.70
Rh (0.8376, 0.7346, 0.5612)  5 Si 2.41-2.70
Si (0.1706, 0.6256, 0.7897)  6 Rh 2.46-2.70, 2 Si 2.60-2.70
Si (0.2233, 0.8968, 0.1043)  5 Rh 2.31-2.45
Si (0.6706, 0.8744, 0.2103)  6 Rh 2.46-2.70, 2 Si 2.60-2.70
Rh (0.3376, 0.7654, 0.4388)  5 Si 2.41-2.70
Si (0.3294, 0.3744, 0.2897)  6 Rh 2.46-2.70, 2 Si 2.60-2.70
Rh (0.9954, 0.0926, 0.3437)  5 Si 2.31-2.55
Rh (0.6624, 0.2654, 0.0612)  5 Si 2.41-2.70
Si (0.7767, 0.3968, 0.3957)  5 Rh 2.31-2.45
Rh (0.0046, 0.5926, 0.1563)  5 Si 2.31-2.55
Si (0.2767, 0.1032, 0.6043)  5 Rh 2.31-2.45
Rh (0.5046, 0.9074, 0.8437)  5 Si 2.31-2.55
Rh (0.4954, 0.4074, 0.6563)  5 Si 2.31-2.55
Rh (0.1624, 0.2346, 0.9388)  5 Si 2.41-2.70
Si (0.7233, 0.6032, 0.8957)  5 Rh 2.31-2.45

Record 8
SiRh | PBE-GGA | relaxed

The calculation puts the density at 7.0 g cm⁻³. Its total moment is 0.00 μB/f.u. The total energy comes out at -6.8770 eV per atom.

Lattice parameters (Å, degrees): 5.3985 5.3985 5.3985 41.51 41.51 41.51
Closest atoms and distances in Å follow each position.
Element x y z (fractional)
Rh (0.2746, 0.2746, 0.2746)  4 Si 2.35-2.37
Rh (0.7254, 0.7254, 0.7254)  4 Si 2.35-2.37
Si (0.1139, 0.1139, 0.1139)  4 Rh 2.35-2.37
Si (0.8861, 0.8861, 0.8861)  4 Rh 2.35-2.37

Record 9
Si5Rh | PBE-GGA | relaxed

The calculation puts the density at 4.4 g cm⁻³. The offset from the most stable computed form is 501 meV/atom. Its total moment is 0.00 μB/f.u. The total energy comes out at -5.2093 eV per atom.

Lattice parameters (Å, degrees): 4.7419 4.7419 4.7658 90.00 90.00 120.00
Closest atoms and distances in Å follow each position.
Element x y z (fractional)
Si (0.5000, 0.0000, 0.5000)  4 Si 2.37
Si (0.5000, 0.5000, 0.5000)  4 Si 2.37
Rh (0.0000, 0.0000, 0.0000)  6 Si 2.74
Si (0.6667, 0.3333, 0.0000)  9 Si 2.74-2.75, 3 Rh 2.74
Si (0.0000, 0.5000, 0.5000)  4 Si 2.37
Si (0.3333, 0.6667, 0.0000)  9 Si 2.74-2.75, 3 Rh 2.74

Record 10
Si5Rh | PBE-GGA | relaxed

The calculation puts the density at 4.4 g cm⁻³. The offset from the most stable computed form is 0 meV/atom. Its total moment is 0.00 μB/f.u. The total energy comes out at -5.7099 eV per atom.

Lattice parameters (Å, degrees): 5.9310 5.9310 6.2483 59.22 59.22 29.41
Closest atoms and distances in Å follow each position.
Element x y z (fractional)
Si (0.7600, 0.7600, 0.4866)  5 Si 2.39-2.55, 1 Rh 2.48
Rh (0.9527, 0.9527, 0.0411)  8 Si 2.47-2.63
Si (0.0645, 0.0645, 0.5663)  5 Si 2.52-2.60, 1 Rh 2.53
Si (0.6582, 0.6582, 0.9335)  4 Si 2.39-2.50, 2 Rh 2.57
Si (0.2674, 0.2674, 0.0976)  2 Rh 2.47, 3 Si 2.50-2.60
Si (0.4638, 0.4638, 0.3750)  5 Si 2.46-2.55, 2 Rh 2.63

Record 11
SiRh | PBE-GGA | relaxed

The calculation puts the density at 8.2 g cm⁻³. Its total moment is 0.00 μB/f.u. The total energy comes out at -7.1229 eV per atom.

Lattice parameters (Å, degrees): 4.5598 5.4626 3.0295 73.90 70.60 48.58
Closest atoms and distances in Å follow each position.
Element x y z (fractional)
Rh (0.0277, 0.9940, 0.9891)  7 Si 2.44-2.65
Si (0.3815, 0.1111, 0.2537)  7 Rh 2.44-2.65
Rh (0.8890, 0.5893, 0.7609)  7 Si 2.44-2.65
Si (0.5351, 0.4722, 0.4963)  7 Rh 2.44-2.65

Taking the records one at a time from the top gives E_form (uncorrected) values of -236, -362, 226, -737, -230, -656, -612, -490, 535, 35, -736 meV per atom.